Entry 1:
Here is an optimized crystal structure of AcLaCoRh from Alexandria via LeMat-Bulk. Energies are from PBE.

a = 7.248 Å, b = 7.248 Å, c = 7.248 Å
α = 90.00°, β = 90.00°, γ = 90.00°
Sites, in units of the cell vectors:
Ac 0.000 0.000 0.000
Ac 0.000 0.500 0.500
Ac 0.500 0.000 0.500
Ac 0.500 0.500 0.000
La 0.000 0.000 0.500
La 0.000 0.500 0.000
La 0.500 0.000 0.000
La 0.500 0.500 0.500
Co 0.250 0.250 0.250
Co 0.250 0.750 0.750
Co 0.750 0.250 0.750
Co 0.750 0.750 0.250
Rh 0.250 0.250 0.750
Rh 0.250 0.750 0.250
Rh 0.750 0.250 0.250
Rh 0.750 0.750 0.750

Output
Electronic total energy (eV/f.u.): -24.4
DOS(E_F) (states/eV/cell): 13.1

=====

Entry 2:
Here is an optimized crystal structure of Ac2La6CoRh from Alexandria via LeMat-Bulk. Energies are from PBE.

a = 7.594 Å, b = 7.594 Å, c = 8.026 Å
α = 118.21°, β = 118.17°, γ = 90.00°
Sites, in units of the cell vectors:
Ac 0.000 0.000 0.000
Ac 0.499 0.499 0.000
La 0.006 0.019 0.527
La 0.006 0.506 0.527
La 0.055 0.556 0.112
La 0.519 0.019 0.528
La 0.519 0.507 0.528
La 0.560 0.060 0.121
Co 0.827 0.328 0.658
Rh 0.323 0.825 0.651

Output
Electronic total energy (eV/f.u.): -53.6
DOS(E_F) (states/eV/cell): 12.9

=====

Entry 3:
Here is an optimized crystal structure of AcLaCoSi from Alexandria via LeMat-Bulk. Energies are from PBE.

a = 7.138 Å, b = 4.120 Å, c = 8.203 Å
α = 90.00°, β = 106.97°, γ = 90.00°
Sites, in units of the cell vectors:
Ac 0.000 0.000 0.000
Ac 0.500 0.500 0.000
La 0.333 0.500 0.502
La 0.833 0.000 0.502
Co 0.075 0.500 0.726
Co 0.575 0.000 0.726
Si 0.247 0.000 0.743
Si 0.747 0.500 0.743

Output
Electronic total energy (eV/f.u.): -23.4
DOS(E_F) (states/eV/cell): 7.9

=====

Entry 4:
Here is an optimized crystal structure of AcLaSmCo from Alexandria via LeMat-Bulk. Energies are from PBE.

a = 6.743 Å, b = 3.903 Å, c = 9.813 Å
α = 90.00°, β = 90.05°, γ = 90.00°
Sites, in units of the cell vectors:
Ac 0.000 0.000 0.000
Ac 0.500 0.500 0.000
La 0.336 0.000 0.338
La 0.836 0.500 0.338
Sm 0.334 0.000 0.680
Sm 0.834 0.500 0.680
Co 0.000 0.000 0.507
Co 0.500 0.500 0.507

Output
Electronic total energy (eV/f.u.): -20.6
DOS(E_F) (states/eV/cell): 8.9

=====

Entry 5:
Here is an optimized crystal structure of Ac2La6CoTc from Alexandria via LeMat-Bulk. Energies are from PBE.

a = 7.738 Å, b = 7.738 Å, c = 9.092 Å
α = 124.65°, β = 124.65°, γ = 62.10°
Sites, in units of the cell vectors:
Ac 0.197 0.197 0.163
Ac 0.803 0.803 0.837
La 0.239 0.702 0.677
La 0.291 0.269 0.812
La 0.298 0.761 0.323
La 0.721 0.206 0.667
La 0.731 0.709 0.188
La 0.794 0.279 0.333
Co 0.025 0.975 0.500
Tc 0.682 0.318 0.000

Output
Electronic total energy (eV/f.u.): -55.3
DOS(E_F) (states/eV/cell): 11.9

=====

Entry 6:
Here is an optimized crystal structure of Ac2La2Tl2Co from Alexandria via LeMat-Bulk. Energies are from PBE.

a = 17.716 Å, b = 4.024 Å, c = 7.267 Å
α = 90.00°, β = 114.15°, γ = 90.00°
Sites, in units of the cell vectors:
Ac 0.189 0.000 0.188
Ac 0.311 0.500 0.812
Ac 0.689 0.500 0.188
Ac 0.811 0.000 0.812
La 0.000 0.500 0.253
La 0.000 0.500 0.747
La 0.500 0.000 0.253
La 0.500 0.000 0.747
Tl 0.140 0.000 0.639
Tl 0.360 0.500 0.361
Tl 0.640 0.500 0.639
Tl 0.860 0.000 0.361
Co 0.000 0.000 0.000
Co 0.500 0.500 0.000

Output
Electronic total energy (eV/f.u.): -31.5
DOS(E_F) (states/eV/cell): 14.5

=====

Entry 7:
Here is an optimized crystal structure of AcLa2TlCo from Alexandria via LeMat-Bulk. Energies are from PBE.

a = 5.330 Å, b = 5.330 Å, c = 5.568 Å
α = 90.00°, β = 90.00°, γ = 90.00°
Sites, in units of the cell vectors:
Ac 0.000 0.000 0.000
La 0.000 0.500 0.500
La 0.500 0.000 0.500
Tl 0.500 0.500 0.000
Co 0.000 0.000 0.500

Output
Electronic total energy (eV/f.u.): -24.5
DOS(E_F) (states/eV/cell): 4.9

=====

Entry 8:
Here is an optimized crystal structure of LiAc8Co2 from Alexandria via LeMat-Bulk. Energies are from PBE.

a = 8.553 Å, b = 8.553 Å, c = 6.286 Å
α = 97.25°, β = 97.25°, γ = 116.51°
Sites, in units of the cell vectors:
Li 0.000 0.000 0.000
Ac 0.081 0.345 0.573
Ac 0.243 0.756 0.999
Ac 0.345 0.081 0.573
Ac 0.394 0.394 0.202
Ac 0.605 0.605 0.798
Ac 0.654 0.918 0.426
Ac 0.756 0.243 0.999
Ac 0.918 0.654 0.426
Co 0.282 0.716 0.499
Co 0.716 0.282 0.499

Output
Electronic total energy (eV/f.u.): -47.8
DOS(E_F) (states/eV/cell): 13.0

=====

Entry 9:
Here is an optimized crystal structure of Li5Ac4Co2 from Alexandria via LeMat-Bulk. Energies are from PBE.

a = 8.152 Å, b = 3.881 Å, c = 9.895 Å
α = 90.00°, β = 94.47°, γ = 90.00°
Sites, in units of the cell vectors:
Li 0.000 0.000 0.000
Li 0.049 0.000 0.315
Li 0.305 0.000 0.846
Li 0.695 0.000 0.154
Li 0.951 0.000 0.685
Ac 0.286 0.500 0.551
Ac 0.338 0.500 0.164
Ac 0.662 0.500 0.836
Ac 0.714 0.500 0.449
Co 0.447 0.000 0.363
Co 0.553 0.000 0.637

Output
Electronic total energy (eV/f.u.): -39.4
DOS(E_F) (states/eV/cell): 8.6

=====

Entry 10:
Here is an optimized crystal structure of LiAc4Co from Alexandria via LeMat-Bulk. Energies are from PBE.

a = 10.495 Å, b = 10.495 Å, c = 10.495 Å
α = 60.00°, β = 60.00°, γ = 60.00°
Sites, in units of the cell vectors:
Li 0.423 0.423 0.423
Li 0.423 0.423 0.731
Li 0.423 0.731 0.423
Li 0.731 0.423 0.423
Ac 0.028 0.657 0.657
Ac 0.061 0.061 0.439
Ac 0.061 0.439 0.061
Ac 0.061 0.439 0.439
Ac 0.187 0.187 0.813
Ac 0.187 0.813 0.187
Ac 0.187 0.813 0.813
Ac 0.439 0.061 0.061
Ac 0.439 0.061 0.439
Ac 0.439 0.439 0.061
Ac 0.657 0.028 0.657
Ac 0.657 0.657 0.028
Ac 0.657 0.657 0.657
Ac 0.813 0.187 0.187
Ac 0.813 0.187 0.813
Ac 0.813 0.813 0.187
Co 0.422 0.859 0.859
Co 0.859 0.422 0.859
Co 0.859 0.859 0.422
Co 0.859 0.859 0.859

Output
Electronic total energy (eV/f.u.): -25.5
DOS(E_F) (states/eV/cell): 28.6

=====

Entry 11:
Here is an optimized crystal structure of LiAc12Co4 from Alexandria via LeMat-Bulk. Energies are from PBE.

a = 9.556 Å, b = 9.556 Å, c = 9.556 Å
α = 110.64°, β = 109.28°, γ = 108.50°
Sites, in units of the cell vectors:
Li 0.000 0.000 0.000
Ac 0.013 0.799 0.214
Ac 0.186 0.482 0.296
Ac 0.186 0.890 0.704
Ac 0.311 0.299 0.610
Ac 0.311 0.701 0.012
Ac 0.415 0.201 0.214
Ac 0.585 0.799 0.786
Ac 0.689 0.299 0.988
Ac 0.689 0.701 0.390
Ac 0.814 0.110 0.296
Ac 0.814 0.518 0.704
Ac 0.987 0.201 0.786
Co 0.000 0.000 0.500
Co 0.000 0.500 0.000
Co 0.500 0.000 0.000
Co 0.500 0.500 0.500

Output
Electronic total energy (eV/f.u.): -78.0
DOS(E_F) (states/eV/cell): 19.7

=====

Entry 12:
Here is an optimized crystal structure of Li4Ac19Co6 from Alexandria via LeMat-Bulk. Energies are from PBE.

a = 11.099 Å, b = 11.099 Å, c = 11.099 Å
α = 109.47°, β = 109.47°, γ = 109.47°
Sites, in units of the cell vectors:
Li 0.000 0.000 0.676
Li 0.000 0.676 0.000
Li 0.324 0.324 0.324
Li 0.676 0.000 0.000
Ac 0.000 0.000 0.000
Ac 0.000 0.357 0.357
Ac 0.000 0.643 0.643
Ac 0.014 0.358 0.763
Ac 0.237 0.594 0.250
Ac 0.250 0.237 0.594
Ac 0.344 0.986 0.750
Ac 0.357 0.000 0.357
Ac 0.357 0.357 0.000
Ac 0.358 0.763 0.014
Ac 0.406 0.642 0.656
Ac 0.594 0.250 0.237
Ac 0.642 0.656 0.406
Ac 0.643 0.000 0.643
Ac 0.643 0.643 0.000
Ac 0.656 0.406 0.642
Ac 0.750 0.344 0.986
Ac 0.763 0.014 0.358
Ac 0.986 0.750 0.344
Co 0.183 0.683 0.500
Co 0.317 0.500 0.817
Co 0.500 0.183 0.683
Co 0.500 0.817 0.317
Co 0.683 0.500 0.183
Co 0.817 0.317 0.500

Output
Electronic total energy (eV/f.u.): -126.4
DOS(E_F) (states/eV/cell): 33.3

=====

- What is the electronic total energy in the eighth record?
  -47.8 eV/f.u.

=====

- Look up the DOS(E_F) of the fifth one.
  11.9 states/eV/cell